Entry 1:
# Pm6Y5Tm, relaxed, DFT PBE
data_Pm6Y5Tm
_symmetry_space_group_name_H-M 'P 1'
_symmetry_Int_Tables_number 1
_symmetry_space_group_name_Hall 'P 1'
_cell_length_a 6.2556
_cell_length_b 6.2556
_cell_length_c 11.8455
_cell_angle_alpha 95.03
_cell_angle_beta 95.03
_cell_angle_gamma 119.98
loop_
_atom_site_label
_atom_site_type_symbol
_atom_site_fract_x
_atom_site_fract_y
_atom_site_fract_z
_atom_site_occupancy
Pm1 Pm 0.0828 0.4150 0.7492 1
Pm2 Pm 0.2494 0.2494 0.2508 1
Pm3 Pm 0.4150 0.0828 0.7492 1
Pm4 Pm 0.5850 0.9172 0.2508 1
Pm5 Pm 0.7506 0.7506 0.7492 1
Pm6 Pm 0.9172 0.5850 0.2508 1
Y1 Y 0.1666 0.8334 0.0000 1
Y2 Y 0.3333 0.6667 0.5000 1
Y3 Y 0.5000 0.5000 0.0000 1
Y4 Y 0.6667 0.3333 0.5000 1
Y5 Y 0.8334 0.1666 0.0000 1
Tm1 Tm 0.0000 0.0000 0.5000 1
# E_tot = -5.4296 eV/atom
# symmetry = C2/m
# density of states at the Fermi level = 14.31 states/eV/cell



Entry 2:
# NpNb2Re, relaxed, DFT PBE
data_NpNb2Re
_symmetry_space_group_name_H-M 'P 1'
_symmetry_Int_Tables_number 1
_symmetry_space_group_name_Hall 'P 1'
_cell_length_a 4.7673
_cell_length_b 4.7673
_cell_length_c 3.1711
_cell_angle_alpha 90.00
_cell_angle_beta 90.00
_cell_angle_gamma 90.00
loop_
_atom_site_label
_atom_site_type_symbol
_atom_site_fract_x
_atom_site_fract_y
_atom_site_fract_z
_atom_site_occupancy
Np1 Np 0.0000 0.0000 0.0000 1
Nb1 Nb 0.0000 0.5000 0.5000 1
Nb2 Nb 0.5000 0.0000 0.5000 1
Re1 Re 0.5000 0.5000 0.0000 1
# E_tot = -11.1515 eV/atom
# symmetry = P4/mmm
# density of states at the Fermi level = 6.84 states/eV/cell
# excess energy over the best structure of this formula in the dataset = 0.088 eV per atom